This record from Alexandria via LeMat-Bulk describes crystalline CdW2Cl at its relaxed geometry. The functional is PBE.

Computed properties:
- space-group type = No. 225
- total DFT energy (no corrections) (eV/cell) = -91.3
- raw formation energy (eV/atom) = 1.458
- N(E_F) (states/eV per cell) = 25.61

Cell: 6.452 6.452 6.452 Å, 90.00 90.00 90.00°
Sites, in units of the cell vectors:
Cd 0.000 0.000 0.000
Cd 0.000 0.500 0.500
Cd 0.500 0.000 0.500
Cd 0.500 0.500 0.000
W 0.250 0.250 0.250
W 0.250 0.250 0.750
W 0.250 0.750 0.250
W 0.250 0.750 0.750
W 0.750 0.250 0.250
W 0.750 0.250 0.750
W 0.750 0.750 0.250
W 0.750 0.750 0.750
Cl 0.000 0.000 0.500
Cl 0.000 0.500 0.000
Cl 0.500 0.000 0.000
Cl 0.500 0.500 0.500

---

This record from Alexandria via LeMat-Bulk describes crystalline Tl3SnSe at its relaxed geometry. The functional is PBE.

Computed properties:
- space-group type = No. 221
- total DFT energy (no corrections) (eV/cell) = -13.2
- raw formation energy (eV/atom) = 0.280
- N(E_F) (states/eV per cell) = 2.24

Cell: 5.777 5.777 5.777 Å, 90.00 90.00 90.00°
Sites, in units of the cell vectors:
Tl 0.000 0.000 0.500
Tl 0.000 0.500 0.000
Tl 0.500 0.000 0.000
Sn 0.000 0.000 0.000
Se 0.500 0.500 0.500

---

This record from Alexandria via LeMat-Bulk describes crystalline Ac3HgRhO at its relaxed geometry. The functional is PBE.

Computed properties:
- space-group type = No. 11
- total DFT energy (no corrections) (eV/cell) = -65.7
- raw formation energy (eV/atom) = -1.318
- N(E_F) (states/eV per cell) = 7.82

Cell: 9.327 4.351 9.718 Å, 90.00 103.01 90.00°
Sites, in units of the cell vectors:
Ac 0.056 0.250 0.336
Ac 0.319 0.250 0.968
Ac 0.377 0.750 0.645
Ac 0.623 0.250 0.355
Ac 0.681 0.750 0.032
Ac 0.944 0.750 0.664
Hg 0.314 0.750 0.266
Hg 0.686 0.250 0.734
Rh 0.161 0.250 0.649
Rh 0.839 0.750 0.351
O 0.418 0.750 0.907
O 0.582 0.250 0.093

---

This record from Alexandria via LeMat-Bulk describes crystalline TlCd4Ag5 at its relaxed geometry. The functional is PBE.

Computed properties:
- space-group type = No. 47
- total DFT energy (no corrections) (eV/cell) = -20.3
- N(E_F) (states/eV per cell) = 2.17
- energy of formation (meV/atom) = -4

Cell: 3.345 3.718 16.193 Å, 90.00 90.00 90.00°
Sites, in units of the cell vectors:
Tl 0.000 0.000 0.000
Cd 0.000 0.000 0.210
Cd 0.000 0.000 0.403
Cd 0.000 0.000 0.597
Cd 0.000 0.000 0.790
Ag 0.500 0.500 0.114
Ag 0.500 0.500 0.307
Ag 0.500 0.500 0.500
Ag 0.500 0.500 0.693
Ag 0.500 0.500 0.886

---

This record from Alexandria via LeMat-Bulk describes crystalline Na2Nd2NpS6 at its relaxed geometry. The functional is PBE.

Computed properties:
- space-group type = No. 12
- total DFT energy (no corrections) (eV/cell) = -67.7
- raw formation energy (eV/atom) = -1.624
- N(E_F) (states/eV per cell) = 7.00

Cell: 7.091 7.091 7.097 Å, 99.51 99.51 119.55°
Sites, in units of the cell vectors:
Na 0.168 0.832 0.000
Na 0.832 0.168 0.000
Nd 0.335 0.665 0.500
Nd 0.665 0.335 0.500
Np 0.000 0.000 0.500
S 0.068 0.393 0.723
S 0.239 0.239 0.277
S 0.393 0.068 0.723
S 0.607 0.932 0.277
S 0.761 0.761 0.723
S 0.932 0.607 0.277

---

This record from Alexandria via LeMat-Bulk describes crystalline Cr2NiBiPb at its relaxed geometry. The functional is PBE.

Computed properties:
- space-group type = No. 123
- total DFT energy (no corrections) (eV/cell) = -29.1
- N(E_F) (states/eV per cell) = 3.64
- energy of formation (meV/atom) = 697

Cell: 4.808 4.808 4.756 Å, 90.00 90.00 90.00°
Sites, in units of the cell vectors:
Cr 0.000 0.500 0.000
Cr 0.500 0.000 0.000
Ni 0.000 0.000 0.000
Bi 0.500 0.500 0.500
Pb 0.000 0.000 0.500

---

This record from Alexandria via LeMat-Bulk describes crystalline KPaBe2O6 at its relaxed geometry. The functional is PBE.

Computed properties:
- space-group type = No. 15
- total DFT energy (no corrections) (eV/cell) = -144.9
- raw formation energy (eV/atom) = -2.467
- N(E_F) (states/eV per cell) = 0.00

Cell: 6.959 6.959 5.006 Å, 91.02 91.02 99.56°
Sites, in units of the cell vectors:
K 0.074 0.926 0.750
K 0.926 0.074 0.250
Pa 0.297 0.703 0.250
Pa 0.703 0.297 0.750
Be 0.231 0.376 0.673
Be 0.376 0.231 0.173
Be 0.624 0.769 0.827
Be 0.769 0.624 0.327
O 0.003 0.295 0.728
O 0.229 0.608 0.785
O 0.282 0.392 0.351
O 0.295 0.003 0.228
O 0.392 0.282 0.851
O 0.392 0.771 0.715
O 0.608 0.229 0.285
O 0.608 0.718 0.149
O 0.705 0.997 0.772
O 0.718 0.608 0.649
O 0.771 0.392 0.215
O 0.997 0.705 0.272

---

This record from Alexandria via LeMat-Bulk describes crystalline Tb2DyCu at its relaxed geometry. The functional is PBE.

Computed properties:
- space-group type = No. 160
- total DFT energy (no corrections) (eV/cell) = -53.4
- N(E_F) (states/eV per cell) = 16.26
- energy of formation (meV/atom) = 37

Cell: 3.631 3.631 29.265 Å, 90.00 90.00 120.00°
Sites, in units of the cell vectors:
Tb 0.000 0.000 0.000
Tb 0.000 0.000 0.197
Tb 0.333 0.667 0.667
Tb 0.333 0.667 0.864
Tb 0.667 0.333 0.333
Tb 0.667 0.333 0.530
Dy 0.000 0.000 0.432
Dy 0.333 0.667 0.099
Dy 0.667 0.333 0.765
Cu 0.000 0.000 0.598
Cu 0.333 0.667 0.265
Cu 0.667 0.333 0.932

---

| no. | theoretical density (g cm⁻³) |
| --- | --- |
| 1 | 12.747 |
| 2 | 6.982 |
| 3 | 8.646 |
| 4 | 9.842 |
| 5 | 4.326 |
| 6 | 8.742 |
| 7 | 5.339 |
| 8 | 8.107 |